Entry 1:
Material: AcRh3
Method: DFT, GGA-PBE
State: optimized geometry

a b c (Å): 4.2513 4.2513 5.1216
angles (deg): 114.52 114.52 90.00
Fractional positions:
Rh (0.2500, 0.7500, 0.5000)
Rh (0.5000, 0.5000, 0.0000)
Rh (0.7500, 0.2500, 0.5000)
Ac (0.0000, 0.0000, 0.0000)

Summary:
M_tot = 0.00 μB per formula unit
Formation enthalpy at 0 K = -0.55 eV per formula unit

---

Entry 2:
Material: LiPm3Pb12
Method: DFT, GGA-PBE
State: optimized geometry

a b c (Å): 4.8645 4.8645 19.8724
angles (deg): 90.00 90.00 90.00
Fractional positions:
Pm (0.0000, 0.0000, 0.7477)
Pm (0.0000, 0.0000, 0.5000)
Pm (0.0000, 0.0000, 0.2523)
Li (0.0000, 0.0000, 0.0000)
Pb (0.5000, 0.0000, 0.3743)
Pb (0.0000, 0.5000, 0.3743)
Pb (0.5000, 0.5000, 0.0000)
Pb (0.0000, 0.5000, 0.8807)
Pb (0.5000, 0.0000, 0.6257)
Pb (0.0000, 0.5000, 0.1193)
Pb (0.5000, 0.5000, 0.5000)
Pb (0.0000, 0.5000, 0.6257)
Pb (0.5000, 0.0000, 0.1193)
Pb (0.5000, 0.5000, 0.2455)
Pb (0.5000, 0.0000, 0.8807)
Pb (0.5000, 0.5000, 0.7545)

Summary:
M_tot = 0.00 μB per formula unit
Formation enthalpy at 0 K = -4.78 eV per formula unit

---

Entry 3:
Material: Pm12GaRu7
Method: DFT, GGA-PBE
State: optimized geometry

a b c (Å): 8.9455 8.9455 8.9455
angles (deg): 110.06 110.06 110.06
Fractional positions:
Ru (0.5000, 0.5000, 0.5000)
Ru (0.9711, 0.0755, 0.7268)
Ru (0.0289, 0.9245, 0.2732)
Ru (0.9245, 0.2732, 0.0289)
Ru (0.2732, 0.0289, 0.9245)
Ru (0.0755, 0.7268, 0.9711)
Ru (0.7268, 0.9711, 0.0755)
Pm (0.2691, 0.1198, 0.6549)
Pm (0.6549, 0.2691, 0.1198)
Pm (0.3054, 0.3905, 0.1054)
Pm (0.3451, 0.7309, 0.8802)
Pm (0.3905, 0.1054, 0.3054)
Pm (0.1198, 0.6549, 0.2691)
Pm (0.1054, 0.3054, 0.3905)
Pm (0.6095, 0.8946, 0.6946)
Pm (0.7309, 0.8802, 0.3451)
Pm (0.8802, 0.3451, 0.7309)
Pm (0.6946, 0.6095, 0.8946)
Pm (0.8946, 0.6946, 0.6095)
Ga (0.0000, 0.0000, 0.0000)

Summary:
M_tot = 0.00 μB per formula unit
Formation enthalpy at 0 K = -3.87 eV per formula unit

---

Entry 4:
Material: TaAl2Pd8
Method: DFT, GGA-PBE
State: optimized geometry

a b c (Å): 4.0705 6.3681 7.2171
angles (deg): 110.10 106.38 90.00
Fractional positions:
Al (0.7865, 0.3439, 0.5731)
Al (0.2135, 0.6561, 0.4269)
Pd (0.9619, 0.2678, 0.9238)
Pd (0.6779, 0.9290, 0.3559)
Pd (0.0381, 0.7322, 0.0762)
Pd (0.8496, 0.7933, 0.6992)
Pd (0.3221, 0.0710, 0.6441)
Pd (0.1504, 0.2067, 0.3008)
Pd (0.3903, 0.5394, 0.7805)
Pd (0.6097, 0.4606, 0.2195)
Ta (0.5000, 0.0000, 0.0000)

Summary:
M_tot = 0.00 μB per formula unit
Formation enthalpy at 0 K = -6.48 eV per formula unit

---

Entry 5:
Material: CeLuCoAu
Method: DFT, GGA-PBE
State: optimized geometry

a b c (Å): 4.9357 4.9357 4.9357
angles (deg): 60.00 60.00 60.00
Each line ends with the local moment (μB).
Fractional positions:
Co (0.5000, 0.5000, 0.5000)  0.56
Au (0.0000, 0.0000, 0.0000)  -0.01
Ce (0.2500, 0.2500, 0.2500)  -0.49
Lu (0.7500, 0.7500, 0.7500)  -0.07

Summary:
M_tot = 0.13 μB per formula unit
Formation enthalpy at 0 K = -1.48 eV per formula unit

---

Entry 6:
Material: La2PmTl2
Method: DFT, GGA-PBE
State: optimized geometry

a b c (Å): 3.9078 5.5822 14.7975
angles (deg): 90.00 97.59 90.00
Fractional positions:
La (0.9512, 0.2500, 0.9040)
La (0.2383, 0.7500, 0.4746)
La (0.7617, 0.2500, 0.5254)
La (0.0488, 0.7500, 0.0960)
Tl (0.3555, 0.2500, 0.7112)
Tl (0.6445, 0.7500, 0.2888)
Tl (0.4482, 0.7500, 0.8976)
Tl (0.5518, 0.2500, 0.1024)
Pm (0.8543, 0.7500, 0.7061)
Pm (0.1457, 0.2500, 0.2939)

Summary:
M_tot = 0.00 μB per formula unit
Formation enthalpy at 0 K = -1.58 eV per formula unit

---

Entry 7:
Material: SrPaP2N6
Method: DFT, GGA-PBE
State: optimized geometry

a b c (Å): 5.1460 7.2261 7.2261
angles (deg): 91.48 83.92 83.92
Fractional positions:
N (0.8698, 0.4179, 0.8114)
N (0.2933, 0.2575, 0.0057)
N (0.7067, 0.7425, 0.9943)
N (0.0615, 0.2821, 0.3756)
N (0.4385, 0.6244, 0.7179)
N (0.7933, 0.0057, 0.2575)
N (0.1302, 0.5821, 0.1886)
N (0.3698, 0.8114, 0.4179)
N (0.6302, 0.1886, 0.5821)
N (0.9385, 0.7179, 0.6244)
N (0.5615, 0.3756, 0.2821)
N (0.2067, 0.9943, 0.7425)
Pa (0.2500, 0.3104, 0.6896)
Pa (0.7500, 0.6896, 0.3104)
P (0.7384, 0.6294, 0.7967)
P (0.2384, 0.7967, 0.6294)
P (0.7616, 0.2033, 0.3706)
P (0.2616, 0.3706, 0.2033)
Sr (0.7500, 0.0931, 0.9069)
Sr (0.2500, 0.9069, 0.0931)

Summary:
M_tot = 0.00 μB per formula unit
Total energy = -7.93 eV/atom

---

Entry 8:
Material: Ce5TeAs4
Method: DFT, GGA-PBE
State: optimized geometry

a b c (Å): 4.2588 6.0588 11.3367
angles (deg): 105.50 100.83 90.00
Each line ends with the local moment (μB).
Fractional positions:
As (0.2033, 0.2033, 0.4066)  -0.03
As (0.7967, 0.7967, 0.5934)  -0.03
As (0.5996, 0.5996, 0.1991)  -0.03
As (0.4004, 0.4004, 0.8009)  -0.03
Te (0.0000, 0.0000, 0.0000)  -0.02
Ce (0.3916, 0.8916, 0.7831)  0.77
Ce (0.0000, 0.5000, 0.0000)  0.74
Ce (0.1990, 0.6990, 0.3980)  0.69
Ce (0.6084, 0.1084, 0.2169)  0.77
Ce (0.8010, 0.3010, 0.6020)  0.69

Summary:
M_tot = 4.16 μB per formula unit
Total energy = -6.55 eV/atom

---

Entry 9:
Material: Na3ZnSb2
Method: DFT, GGA-PBE
State: optimized geometry

a b c (Å): 6.4037 6.4082 9.2039
angles (deg): 110.37 110.36 90.00
Fractional positions:
Na (0.9003, 0.1809, 0.3619)
Na (0.4615, 0.6809, 0.3619)
Na (0.5000, 0.2500, 0.0000)
Na (0.0997, 0.8191, 0.6381)
Na (0.5000, 0.7500, 0.0000)
Na (0.5385, 0.3191, 0.6381)
Zn (0.0000, 0.2500, 0.0000)
Zn (0.0000, 0.7500, 0.0000)
Sb (0.0858, 0.3828, 0.7655)
Sb (0.3203, 0.1172, 0.2345)
Sb (0.9142, 0.6172, 0.2345)
Sb (0.6797, 0.8828, 0.7655)

Summary:
M_tot = 0.00 μB per formula unit
Total energy = -2.54 eV/atom

---

Entry 10:
Material: LaFe2AgRu
Method: DFT, GGA-PBE
State: optimized geometry

a b c (Å): 4.6610 4.7767 4.6610
angles (deg): 90.00 90.00 90.00
Each line ends with the local moment (μB).
Fractional positions:
Fe (0.0000, 0.0000, 0.5000)  2.15
Fe (0.5000, 0.0000, 0.0000)  2.23
Ru (0.0000, 0.5000, 0.0000)  0.51
Ag (0.5000, 0.5000, 0.5000)  0.01
La (0.0000, 0.0000, 0.0000)  -0.21

Summary:
M_tot = 4.66 μB per formula unit
Formation enthalpy at 0 K = 8.23 eV per formula unit

---

Entry 11:
Material: PaCuHgPt
Method: DFT, GGA-PBE
State: optimized geometry

a b c (Å): 4.8021 4.8021 4.8021
angles (deg): 60.00 60.00 60.00
Fractional positions:
Cu (0.2500, 0.2500, 0.2500)
Pa (0.0000, 0.0000, 0.0000)
Hg (0.5000, 0.5000, 0.5000)
Pt (0.7500, 0.7500, 0.7500)

Summary:
M_tot = 0.00 μB per formula unit
Formation enthalpy at 0 K = -1.25 eV per formula unit

---

Entry 12:
Material: LaErNiAg
Method: DFT, GGA-PBE
State: optimized geometry

a b c (Å): 5.0921 5.0921 5.0921
angles (deg): 60.00 60.00 60.00
Fractional positions:
Er (0.0000, 0.0000, 0.0000)
Ag (0.7500, 0.7500, 0.7500)
Ni (0.2500, 0.2500, 0.2500)
La (0.5000, 0.5000, 0.5000)

Summary:
M_tot = 0.00 μB per formula unit
Formation enthalpy at 0 K = -1.02 eV per formula unit

---

What is the formula in the first record?
AcRh3

---

Repeat the third record exactly.
Material: Pm12GaRu7
Method: DFT, GGA-PBE
State: optimized geometry

a b c (Å): 8.9455 8.9455 8.9455
angles (deg): 110.06 110.06 110.06
Fractional positions:
Ru (0.5000, 0.5000, 0.5000)
Ru (0.9711, 0.0755, 0.7268)
Ru (0.0289, 0.9245, 0.2732)
Ru (0.9245, 0.2732, 0.0289)
Ru (0.2732, 0.0289, 0.9245)
Ru (0.0755, 0.7268, 0.9711)
Ru (0.7268, 0.9711, 0.0755)
Pm (0.2691, 0.1198, 0.6549)
Pm (0.6549, 0.2691, 0.1198)
Pm (0.3054, 0.3905, 0.1054)
Pm (0.3451, 0.7309, 0.8802)
Pm (0.3905, 0.1054, 0.3054)
Pm (0.1198, 0.6549, 0.2691)
Pm (0.1054, 0.3054, 0.3905)
Pm (0.6095, 0.8946, 0.6946)
Pm (0.7309, 0.8802, 0.3451)
Pm (0.8802, 0.3451, 0.7309)
Pm (0.6946, 0.6095, 0.8946)
Pm (0.8946, 0.6946, 0.6095)
Ga (0.0000, 0.0000, 0.0000)

Summary:
M_tot = 0.00 μB per formula unit
Formation enthalpy at 0 K = -3.87 eV per formula unit